Below is a relaxed SrU3S6 crystal, with properties calculated at the PBE level.

Cell: 10.9550 4.0457 11.4660 Å, 90.00 108.46 90.00°
Atoms (fractional coordinates):
Sr 0.0856 0.2500 0.1952
Sr 0.9144 0.7500 0.8048
U 0.1599 0.2500 0.5713
U 0.3126 0.7500 0.9895
U 0.4953 0.2500 0.3312
U 0.5047 0.7500 0.6688
U 0.6874 0.2500 0.0105
U 0.8401 0.7500 0.4287
S 0.0772 0.7500 0.3980
S 0.1272 0.2500 0.9425
S 0.2570 0.7500 0.7257
S 0.3091 0.7500 0.2317
S 0.3764 0.2500 0.5116
S 0.4692 0.2500 0.0904
S 0.5308 0.7500 0.9096
S 0.6236 0.7500 0.4884
S 0.6909 0.2500 0.7683
S 0.7430 0.2500 0.2743
S 0.8728 0.7500 0.0575
S 0.9228 0.2500 0.6020

For the density of states at the Fermi level, the calculation gives 1.7029 states/eV/atom. The calculation puts the density at 6.85 g/cm³. As for the total DFT energy (no corrections): -151.42 eV per cell.